The following is a GGA-PBEsol calculation of an optimized crystal structure of Ru7Rh, from the Alexandria database.

Cell: 5.323 5.323 5.323 Å, 60.00 60.00 60.00°
Fractional positions:
Ru (0.500, 0.000, 0.500)
Rh (0.000, 0.000, 0.000)
Ru (0.500, 0.000, 0.000)
Ru (0.500, 0.500, 0.500)
Ru (0.000, 0.500, 0.000)
Ru (0.000, 0.000, 0.500)
Ru (0.500, 0.500, 0.000)
Ru (0.000, 0.500, 0.500)

Summary:
Fermi-level density of states (states/eV per cell): 8.62
Formation energy from the elements (eV per formula unit): 0.814
DFT total energy (eV for the cell shown): -78.5